VASP calculation (GGA-PBE) on crystalline La5DyPb6 at its relaxed geometry.

Results
Calculated total energy (eV/atom): -4.850
Calculated formation energy (meV/atom): -559

a b c (Å): 5.1478 9.2882 8.1619
angles (deg): 90.00 72.25 90.00
Element x y z (fractional)
La: 0.6674 0.5000 0.6648
La: 0.6644 0.0000 0.6705
La: 0.3326 0.5000 0.3352
La: 0.0000 0.5000 0.0000
La: 0.3356 0.0000 0.3295
Pb: 0.1633 0.2465 0.6726
Pb: 0.5000 0.2470 0.0000
Pb: 0.1633 0.7535 0.6726
Pb: 0.5000 0.7530 0.0000
Pb: 0.8367 0.7535 0.3274
Pb: 0.8367 0.2465 0.3274
Dy: 0.0000 0.0000 0.0000

***

VASP calculation (GGA-PBE) on crystalline YWS3 at its relaxed geometry.

Results
Calculated total energy (eV/atom): -6.906
Energy above the most stable polymorph in this dataset (eV per formula unit): 0.00
ΔE_f (raw) (eV/atom): -0.546

a b c (Å): 4.6850 4.6850 4.6850
angles (deg): 90.00 90.00 90.00
Element x y z (fractional)
Y: 0.5000 0.5000 0.5000
S: 0.5000 0.0000 0.0000
S: 0.0000 0.0000 0.5000
S: 0.0000 0.5000 0.0000
W: 0.0000 0.0000 0.0000

***

VASP calculation (GGA-PBE) on crystalline KNp3Tl2S8 at its relaxed geometry.

Results
Calculated total energy (eV/atom): -6.611
ΔE_f (raw) (eV/atom): -1.063

a b c (Å): 8.1090 8.1090 8.9607
angles (deg): 63.10 63.10 60.00
Element x y z (fractional)
S: 0.7555 0.7555 0.1837
S: 0.7276 0.7276 0.8172
S: 0.6961 0.2438 0.8164
S: 0.2438 0.6961 0.8164
S: 0.7555 0.3052 0.1837
S: 0.3052 0.7555 0.1837
S: 0.2438 0.2438 0.8164
S: 0.2729 0.2729 0.1812
Np: 0.9993 0.4998 0.0011
Np: 0.4998 0.9993 0.0011
Np: 0.4998 0.4998 0.0011
Tl: 0.5028 0.5028 0.4917
Tl: 0.1254 0.1254 0.6237
K: 0.8651 0.8651 0.4047

***

VASP calculation (GGA-PBE) on crystalline TlCoSb2 at its relaxed geometry.

Results
Calculated total energy (eV/atom): -4.209
Energy above the most stable polymorph in this dataset (eV per formula unit): 0.92
ΔE_f (raw) (eV/atom): 0.221

a b c (Å): 6.6831 6.6831 6.6831
angles (deg): 152.27 137.80 51.25
Element x y z (fractional)
Co: 0.2500 0.7500 0.5000
Sb: 0.4253 0.4253 0.0000
Sb: 0.0747 0.0747 0.0000
Tl: 0.7500 0.2500 0.5000